# Na3Sr2Br7

A relaxed structure of Na3Sr2Br7 (PBE, the Alexandria database).

a = 26.7691 Å, b = 7.7321 Å, c = 7.9438 Å
α = 90.00°, β = 90.00°, γ = 90.00°
Space group Cmc2_1 (No. 36)
Inequivalent atoms, fractional coordinates:
Na1 0.0000 0.2198 0.0000 x4
Na2 0.1984 0.2398 0.8792 x8
Sr1 0.1079 0.2608 0.4603 x8
Br1 0.0000 0.1329 0.3639 x4
Br2 0.0780 0.3908 0.8112 x8
Br3 0.1440 0.0556 0.1586 x8
Br4 0.2099 0.4107 0.5352 x8

Summary:
* total moment: 0.00 μB per cell
* E: -163.0 eV for the cell shown
* crystal system: orthorhombic